# 1
NbTc3Ag: relaxed, PBE.

POSCAR file:
```
NbTc3Ag
1.0
4.7298 0.0000 0.0000
0.0000 4.7298 0.0000
0.0000 0.0000 4.7298
Tc Ag Nb
3 1 1
Direct
0.0000 0.0000 0.5000
0.5000 0.0000 0.0000
0.0000 0.5000 0.0000
0.5000 0.5000 0.5000
0.0000 0.0000 0.0000
```

Computed properties:
Crystal system   cubic
Electronic total energy   -7.034 eV/atom
D(E_F)   1.17 states/eV per atom
Space group   Pm-3m
Volume   106 Å³ per cell
Calculated formation energy   40.8 kcal/mol of atoms


# 2
Ba2NaPmF8: relaxed, PBE.

POSCAR file:
```
Ba2NaPmF8
1.0
5.9904 0.0000 0.0000
0.0000 5.9904 0.0000
-2.9952 -2.9952 5.9517
Ba F Pm Na
2 8 1 1
Direct
0.7500 0.2500 0.5000
0.0000 0.0000 0.0000
0.1408 0.6337 0.7346
0.8991 0.4062 0.2654
0.8991 0.8592 0.2654
0.5938 0.1009 0.7346
0.5938 0.6337 0.7346
0.3663 0.4062 0.2654
0.3663 0.8592 0.2654
0.1408 0.1009 0.7346
0.2500 0.7500 0.5000
0.5000 0.5000 0.0000
```

Computed properties:
Crystal system   tetragonal
Electronic total energy   -5.825 eV/atom
D(E_F)   0.00 states/eV per atom
Space group   I-4m2
Formation energy from raw total energies   -45.017 eV per formula unit
Volume   214 Å³ per cell


# 3
CsTl3Fe: relaxed, PBE.

POSCAR file:
```
CsTl3Fe
1.0
-0.9832 5.1618 0.6454
-3.9276 -1.1672 3.3525
3.4110 0.1438 4.0462
Tl Fe Cs
3 1 1
Direct
0.0000 0.0000 0.5000
0.5000 0.0000 0.0000
0.0000 0.5000 0.0000
0.0000 0.0000 0.0000
0.5000 0.5000 0.5000
```

Computed properties:
Crystal system   cubic
Electronic total energy   -3.111 eV/atom
D(E_F)   0.04 states/eV per atom
Space group   Pm-3m
Volume   148 Å³ per cell
Calculated formation energy   4.0 kcal/mol of atoms


# 4
Tm5CdSb2: relaxed, PBE.

POSCAR file:
```
Tm5CdSb2
1.0
5.3547 0.0000 0.0000
-2.6774 5.6808 0.0000
0.0000 0.0000 15.0285
Tm Sb Cd
10 4 2
Direct
0.5783 0.1566 0.2500
0.4217 0.8434 0.7500
0.0704 0.1407 0.4045
0.6205 0.2409 0.9477
0.9296 0.8593 0.5955
0.6205 0.2409 0.5523
0.3795 0.7591 0.4477
0.3795 0.7591 0.0523
0.0704 0.1407 0.0955
0.9296 0.8593 0.9045
0.7832 0.5665 0.3864
0.2168 0.4335 0.6136
0.2168 0.4335 0.8864
0.7832 0.5665 0.1136
0.2816 0.5632 0.2500
0.7184 0.4368 0.7500
```

Computed properties:
Crystal system   orthorhombic
Electronic total energy   -4.270 eV/atom
D(E_F)   0.78 states/eV per atom
Space group   Cmcm
Formation energy from raw total energies   -2.645 eV per formula unit
Volume   457 Å³ per cell


# 5
La5Ce5Ge6: relaxed, PBE.

POSCAR file:
```
La5Ce5Ge6
1.0
6.3565 0.0000 0.0000
0.0000 7.8329 -4.4115
0.0000 0.0027 8.9897
La Ce Ge
5 5 6
Direct
0.5000 0.2647 0.0003
0.5000 0.0003 0.2647
0.0000 0.7425 0.0003
0.5000 0.7275 0.7275
0.0000 0.0003 0.7425
0.7850 0.6656 0.3321
0.0000 0.2707 0.2707
0.2150 0.3321 0.6656
0.2150 0.6656 0.3321
0.7850 0.3321 0.6656
0.5000 0.0003 0.6141
0.5000 0.6141 0.0003
0.5000 0.3832 0.3832
0.0000 0.0036 0.3806
0.0000 0.6168 0.6168
0.0000 0.3806 0.0036
```

Computed properties:
Crystal system   orthorhombic
Electronic total energy   -5.789 eV/atom
D(E_F)   1.75 states/eV per atom
Space group   Amm2
Volume   448 Å³ per cell
Calculated formation energy   -15.3 kcal/mol of atoms


# 6
V3CrGe2: relaxed, PBE.

POSCAR file:
```
V3CrGe2
1.0
3.2793 0.0000 0.0000
0.0000 7.9738 0.0019
-1.6397 -3.9854 6.1778
V Ge Cr
6 4 2
Direct
0.5000 0.2500 0.0000
0.5000 0.7500 0.0000
0.8298 0.5799 0.6596
0.8298 0.0799 0.6596
0.1702 0.4201 0.3404
0.1702 0.9201 0.3404
0.6528 0.6527 0.3056
0.3472 0.8473 0.6944
0.6528 0.1527 0.3056
0.3472 0.3473 0.6944
0.0000 0.5000 0.0000
0.0000 0.0000 0.0000
```

Computed properties:
Crystal system   orthorhombic
Electronic total energy   -7.877 eV/atom
D(E_F)   0.89 states/eV per atom
Space group   Cmmm
Volume   162 Å³ per cell
Calculated formation energy   -4.0 kcal/mol of atoms